(1)
## DyHo4Tm7 (PBE)

Data for an optimized crystal structure of DyHo4Tm7.

Unit cell a=5.764 b=11.388 c=6.624 alpha=83.54 beta=64.21 gamma=75.34
Sites, in units of the cell vectors:
1 Dy 0.000 0.000 0.000
2 Ho 0.636 0.225 0.503
3 Ho 0.364 0.775 0.497
4 Ho 0.757 0.680 0.806
5 Ho 0.243 0.320 0.194
6 Tm 0.788 0.924 0.500
7 Tm 0.212 0.076 0.500
8 Tm 0.062 0.678 0.198
9 Tm 0.938 0.322 0.802
10 Tm 0.366 0.500 0.768
11 Tm 0.500 0.000 0.000
12 Tm 0.634 0.500 0.232

Output
SG: C2/m
Energy (eV per atom): -4.216


(2)
## Dy3HoTm6 (PBE)

Data for an optimized crystal structure of Dy3HoTm6.

Unit cell a=6.283 b=11.376 c=11.376 alpha=130.89 beta=90.00 gamma=90.00
Sites, in units of the cell vectors:
1 Dy 0.489 0.959 0.703
2 Dy 0.989 0.703 0.959
3 Dy 0.094 0.421 0.579
4 Dy 0.594 0.579 0.421
5 Dy 0.989 0.041 0.297
6 Dy 0.489 0.297 0.041
7 Ho 0.015 0.162 0.838
8 Ho 0.515 0.838 0.162
9 Tm 0.067 0.744 0.622
10 Tm 0.567 0.622 0.744
11 Tm 0.329 0.458 0.895
12 Tm 0.829 0.895 0.458
13 Tm 0.319 0.986 0.014
14 Tm 0.787 0.302 0.698
15 Tm 0.287 0.698 0.302
16 Tm 0.819 0.014 0.986
17 Tm 0.329 0.105 0.542
18 Tm 0.829 0.542 0.105
19 Tm 0.067 0.378 0.256
20 Tm 0.567 0.256 0.378

Output
SG: Cmc2_1
Energy (eV per atom): -4.397


(3)
## Dy7HoTm2 (PBE)

Data for an optimized crystal structure of Dy7HoTm2.

Unit cell a=5.315 b=9.380 c=9.380 alpha=124.95 beta=90.00 gamma=90.00
Sites, in units of the cell vectors:
1 Dy 0.000 0.798 0.202
2 Dy 0.000 0.202 0.798
3 Dy 0.500 0.067 0.289
4 Dy 0.500 0.933 0.711
5 Dy 0.500 0.289 0.067
6 Dy 0.500 0.711 0.933
7 Dy 0.500 0.500 0.500
8 Ho 0.000 0.000 0.000
9 Tm 0.500 0.702 0.298
10 Tm 0.500 0.298 0.702

Output
SG: Cmmm
Energy (eV per atom): -3.876


(4)
## Dy2Ho5Tm3 (PBE)

Data for an optimized crystal structure of Dy2Ho5Tm3.

Unit cell a=6.192 b=10.952 c=10.952 alpha=100.03 beta=73.58 gamma=73.58
Sites, in units of the cell vectors:
1 Dy 0.099 0.744 0.058
2 Dy 0.901 0.256 0.942
3 Dy 0.599 0.058 0.744
4 Dy 0.401 0.942 0.256
5 Ho 0.250 0.500 0.500
6 Ho 0.750 0.500 0.500
7 Ho 0.500 0.750 0.750
8 Ho 0.000 0.250 0.250
9 Ho 0.500 0.250 0.250
10 Ho 0.000 0.750 0.750
11 Ho 0.099 0.558 0.244
12 Ho 0.901 0.442 0.756
13 Ho 0.599 0.244 0.558
14 Ho 0.401 0.756 0.442
15 Tm 0.250 0.000 0.000
16 Tm 0.750 0.000 0.000
17 Tm 0.340 0.410 0.909
18 Tm 0.660 0.590 0.091
19 Tm 0.840 0.909 0.410
20 Tm 0.160 0.091 0.590

Output
SG: Ibam
Energy (eV per atom): -4.188


(5)
## Dy3HoTm6 (PBE)

Data for an optimized crystal structure of Dy3HoTm6.

Unit cell a=6.101 b=10.818 c=10.818 alpha=119.71 beta=90.00 gamma=90.00
Sites, in units of the cell vectors:
1 Dy 0.457 0.937 0.720
2 Dy 0.957 0.720 0.937
3 Dy 0.069 0.391 0.609
4 Dy 0.569 0.609 0.391
5 Dy 0.957 0.063 0.280
6 Dy 0.457 0.280 0.063
7 Ho 0.153 0.209 0.791
8 Ho 0.653 0.791 0.209
9 Tm 0.031 0.712 0.617
10 Tm 0.531 0.617 0.712
11 Tm 0.362 0.541 0.963
12 Tm 0.862 0.963 0.541
13 Tm 0.422 0.951 0.049
14 Tm 0.641 0.285 0.715
15 Tm 0.141 0.715 0.285
16 Tm 0.922 0.049 0.951
17 Tm 0.362 0.037 0.459
18 Tm 0.862 0.459 0.037
19 Tm 0.031 0.383 0.288
20 Tm 0.531 0.288 0.383

Output
SG: Cmc2_1
Energy (eV per atom): -4.372


(6)
## Dy12HoTm5 (PBE)

Data for an optimized crystal structure of Dy12HoTm5.

Unit cell a=6.114 b=6.112 c=17.228 alpha=86.62 beta=83.23 gamma=59.99
Sites, in units of the cell vectors:
1 Dy 0.888 0.000 0.334
2 Dy 0.112 0.000 0.666
3 Dy 0.722 0.000 0.834
4 Dy 0.278 0.000 0.166
5 Dy 0.390 0.666 0.834
6 Dy 0.944 0.666 0.166
7 Dy 0.056 0.334 0.834
8 Dy 0.610 0.334 0.166
9 Dy 0.445 0.333 0.666
10 Dy 0.779 0.667 0.666
11 Dy 0.221 0.333 0.334
12 Dy 0.555 0.667 0.334
13 Ho 0.000 0.000 0.000
14 Tm 0.500 0.000 0.500
15 Tm 0.167 0.667 0.500
16 Tm 0.833 0.333 0.500
17 Tm 0.667 0.667 0.000
18 Tm 0.333 0.333 0.000

Output
SG: C2/m
Energy (eV per atom): -4.554


(7)
## Dy12HoTm3 (PBE)

Data for an optimized crystal structure of Dy12HoTm3.

Unit cell a=4.983 b=4.983 c=19.921 alpha=90.00 beta=90.00 gamma=90.00
Sites, in units of the cell vectors:
1 Dy 0.500 0.500 0.000
2 Dy 0.500 0.500 0.250
3 Dy 0.500 0.500 0.500
4 Dy 0.500 0.500 0.750
5 Dy 0.500 0.000 0.125
6 Dy 0.500 0.000 0.375
7 Dy 0.500 0.000 0.625
8 Dy 0.500 0.000 0.875
9 Dy 0.000 0.500 0.125
10 Dy 0.000 0.500 0.375
11 Dy 0.000 0.500 0.625
12 Dy 0.000 0.500 0.875
13 Ho 0.000 0.000 0.000
14 Tm 0.000 0.000 0.250
15 Tm 0.000 0.000 0.500
16 Tm 0.000 0.000 0.750

Output
SG: P4/mmm
Energy (eV per atom): -4.556


(8)
## Dy5Ho6Tm (PBE)

Data for an optimized crystal structure of Dy5Ho6Tm.

Unit cell a=11.664 b=6.099 c=6.093 alpha=59.97 beta=85.03 gamma=80.03
Sites, in units of the cell vectors:
1 Dy 0.500 0.167 0.667
2 Dy 0.000 0.333 0.333
3 Dy 0.500 0.500 0.000
4 Dy 0.000 0.667 0.667
5 Dy 0.500 0.833 0.333
6 Ho 0.751 0.083 0.333
7 Ho 0.249 0.584 0.333
8 Ho 0.250 0.250 0.000
9 Ho 0.750 0.750 0.000
10 Ho 0.751 0.416 0.667
11 Ho 0.249 0.917 0.667
12 Tm 0.000 0.000 0.000

Output
SG: C2/m
Energy (eV per atom): -4.560


(9)
## Dy2Ho5Tm (PBE)

Data for an optimized crystal structure of Dy2Ho5Tm.

Unit cell a=8.771 b=16.246 c=10.865 alpha=90.00 beta=90.00 gamma=160.93
Sites, in units of the cell vectors:
1 Dy 0.740 0.599 0.388
2 Dy 0.740 0.599 0.112
3 Dy 0.260 0.401 0.612
4 Dy 0.260 0.401 0.888
5 Ho 0.340 0.032 0.918
6 Ho 0.340 0.032 0.582
7 Ho 0.474 0.675 0.416
8 Ho 0.474 0.675 0.084
9 Ho 0.560 0.314 0.250
10 Ho 0.440 0.686 0.750
11 Ho 0.526 0.325 0.584
12 Ho 0.526 0.325 0.916
13 Ho 0.660 0.968 0.082
14 Ho 0.660 0.968 0.418
15 Tm 0.297 0.830 0.750
16 Tm 0.703 0.170 0.250

Output
SG: P2_1/m
Energy (eV per atom): -4.382


(10)
## Dy8HoTm2 (PBE)

Data for an optimized crystal structure of Dy8HoTm2.

Unit cell a=11.156 b=15.372 c=15.357 alpha=22.88 beta=150.59 gamma=160.61
Sites, in units of the cell vectors:
1 Tm 0.091 0.546 0.818
2 Tm 0.909 0.454 0.182
3 Ho 0.000 0.000 0.000
4 Dy 0.817 0.908 0.364
5 Dy 0.454 0.727 0.091
6 Dy 0.637 0.818 0.728
7 Dy 0.363 0.182 0.272
8 Dy 0.546 0.273 0.909
9 Dy 0.183 0.092 0.636
10 Dy 0.273 0.637 0.454
11 Dy 0.727 0.363 0.546

Output
SG: P-1
Energy (eV per atom): -4.556


(11)
## DyHo4Tm (PBE)

Data for an optimized crystal structure of DyHo4Tm.

Unit cell a=3.526 b=9.324 c=11.380 alpha=90.00 beta=90.00 gamma=100.90
Sites, in units of the cell vectors:
1 Dy 0.667 0.334 0.769
2 Dy 0.333 0.666 0.269
3 Ho 0.000 0.000 0.269
4 Ho 0.000 0.000 0.769
5 Ho 0.888 0.777 0.019
6 Ho 0.112 0.223 0.519
7 Ho 0.667 0.334 0.268
8 Ho 0.333 0.666 0.768
9 Ho 0.444 0.889 0.519
10 Ho 0.556 0.111 0.019
11 Tm 0.778 0.556 0.518
12 Tm 0.222 0.444 0.018

Output
SG: Cmc2_1
Energy (eV per atom): -4.560


(12)
## Dy12Ho5Tm2 (PBE)

Data for an optimized crystal structure of Dy12Ho5Tm2.

Unit cell a=9.125 b=9.032 c=8.477 alpha=91.14 beta=90.00 gamma=120.34
Sites, in units of the cell vectors:
1 Dy 0.912 0.824 0.117
2 Dy 0.029 0.694 0.759
3 Dy 0.665 0.694 0.759
4 Dy 0.179 0.746 0.333
5 Dy 0.566 0.746 0.333
6 Dy 0.442 0.883 0.663
7 Dy 0.558 0.117 0.337
8 Dy 0.821 0.254 0.667
9 Dy 0.434 0.254 0.667
10 Dy 0.971 0.306 0.241
11 Dy 0.335 0.306 0.241
12 Dy 0.088 0.176 0.883
13 Ho 0.232 0.463 0.572
14 Ho 0.300 0.601 0.986
15 Ho 0.000 0.000 0.500
16 Ho 0.700 0.399 0.014
17 Ho 0.768 0.537 0.428
18 Tm 0.676 0.000 0.000
19 Tm 0.324 0.000 0.000

Output
SG: C2/m
Energy (eV per atom): -4.456


> energy of number 6 (Dy12HoTm5)?

-4.554 eV per atom